1.
# Na3Sm3GeS8 | Alexandria via LeMat-Bulk | PBE | relaxed
# energy relative to the elements, uncorrected	-1.43	eV/atom
# volume	371.6	Å³/cell
# SG	No. 166
data_Na3Sm3GeS8
_chemical_formula_sum 'Na3 Sm3 Ge1 S8'
_symmetry_space_group_name_H-M 'P 1'
_symmetry_Int_Tables_number 1
_symmetry_space_group_name_Hall 'P 1'
_cell_length_a 7.9784
_cell_length_b 7.9785
_cell_length_c 8.1647
_cell_angle_alpha 119.26
_cell_angle_beta 90.00
_cell_angle_gamma 120.00
loop_
_atom_site_label
_atom_site_type_symbol
_atom_site_fract_x
_atom_site_fract_y
_atom_site_fract_z
Na1 Na 0.0000 0.0000 0.0000
Na2 Na 0.0000 0.5000 0.0000
Na3 Na 0.5000 0.5000 0.0000
Sm1 Sm 0.5000 0.0000 0.5000
Sm2 Sm 0.5000 0.5000 0.5000
Sm3 Sm 0.0000 0.5000 0.5000
Ge1 Ge 0.0000 0.0000 0.5000
S1 S 0.2566 0.5131 0.2699
S2 S 0.7434 0.4869 0.7301
S3 S 0.7808 0.5616 0.2873
S4 S 0.2192 0.4384 0.7127
S5 S 0.7808 0.0064 0.2872
S6 S 0.2192 0.9936 0.7128
S7 S 0.2256 0.0064 0.2872
S8 S 0.7744 0.9936 0.7128


2.
# NaSnGe2S6 | Alexandria via LeMat-Bulk | PBE | relaxed
# energy relative to the elements, uncorrected	-0.39	eV/atom
# volume	498.1	Å³/cell
# SG	No. 15
data_NaSnGe2S6
_chemical_formula_sum 'Na2 Sn2 Ge4 S12'
_symmetry_space_group_name_H-M 'P 1'
_symmetry_Int_Tables_number 1
_symmetry_space_group_name_Hall 'P 1'
_cell_length_a 6.8638
_cell_length_b 8.7598
_cell_length_c 8.7598
_cell_angle_alpha 85.45
_cell_angle_beta 76.57
_cell_angle_gamma 76.57
loop_
_atom_site_label
_atom_site_type_symbol
_atom_site_fract_x
_atom_site_fract_y
_atom_site_fract_z
Na1 Na 0.2500 0.8858 0.1142
Na2 Na 0.7500 0.1142 0.8858
Sn1 Sn 0.2500 0.2492 0.7508
Sn2 Sn 0.7500 0.7508 0.2492
Ge1 Ge 0.2738 0.7911 0.6262
Ge2 Ge 0.2262 0.3738 0.2089
Ge3 Ge 0.7262 0.2089 0.3738
Ge4 Ge 0.7738 0.6262 0.7911
S1 S 0.1623 0.9718 0.8102
S2 S 0.3377 0.1898 0.0282
S3 S 0.8377 0.0282 0.1898
S4 S 0.6623 0.8102 0.9718
S5 S 0.3752 0.8976 0.3922
S6 S 0.1248 0.6078 0.1024
S7 S 0.6248 0.1024 0.6078
S8 S 0.8752 0.3922 0.8976
S9 S 0.0121 0.6880 0.5813
S10 S 0.4879 0.4187 0.3120
S11 S 0.9879 0.3120 0.4187
S12 S 0.5121 0.5813 0.6880


3.
# Na2SnGeS4 | Alexandria via LeMat-Bulk | PBE | relaxed
# energy relative to the elements, uncorrected	-0.73	eV/atom
# volume	420.6	Å³/cell
# SG	No. 31
data_Na2SnGeS4
_chemical_formula_sum 'Na4 Sn2 Ge2 S8'
_symmetry_space_group_name_H-M 'P 1'
_symmetry_Int_Tables_number 1
_symmetry_space_group_name_Hall 'P 1'
_cell_length_a 6.0457
_cell_length_b 7.3233
_cell_length_c 9.4998
_cell_angle_alpha 90.00
_cell_angle_beta 90.00
_cell_angle_gamma 90.00
loop_
_atom_site_label
_atom_site_type_symbol
_atom_site_fract_x
_atom_site_fract_y
_atom_site_fract_z
Na1 Na 0.4536 0.3206 0.2457
Na2 Na 0.4536 0.3206 0.7543
Na3 Na 0.9536 0.6794 0.7457
Na4 Na 0.9536 0.6794 0.2543
Sn1 Sn 0.9630 0.2105 0.5000
Sn2 Sn 0.4630 0.7895 0.0000
Ge1 Ge 0.5064 0.8459 0.5000
Ge2 Ge 0.0064 0.1541 0.0000
S1 S 0.3816 0.1294 0.0000
S2 S 0.8816 0.8706 0.5000
S3 S 0.3915 0.1413 0.5000
S4 S 0.8915 0.8587 0.0000
S5 S 0.4251 0.7026 0.7011
S6 S 0.9251 0.2974 0.2011
S7 S 0.9251 0.2974 0.7989
S8 S 0.4251 0.7026 0.2989